MnCoPtO4 | GGA+U | relaxed Values from VASP.

The structure in Quantum ESPRESSO input format:
```
&SYSTEM
  ibrav = 0, nat = 14, ntyp = 4
/
ATOMIC_SPECIES
O 16.00 O.upf
Co 58.93 Co.upf
Pt 195.08 Pt.upf
Mn 54.94 Mn.upf
ATOMIC_POSITIONS crystal
O 0.6157 0.7500 0.2584
O 0.0291 0.9831 0.2433
O 0.6089 0.7500 0.7601
O 0.9709 0.4831 0.7567
O 0.9709 0.0169 0.7567
O 0.3911 0.2500 0.2399
O 0.0291 0.5169 0.2433
O 0.3843 0.2500 0.7416
Co 0.8473 0.7500 0.5058
Co 0.1527 0.2500 0.4942
Pt 0.6996 0.2500 0.7488
Pt 0.3004 0.7500 0.2512
Mn 0.8224 0.7500 0.9991
Mn 0.1776 0.2500 0.0009
CELL_PARAMETERS angstrom
5.8918 0.0000 1.1908
0.0000 5.1605 0.0000
-1.1559 0.0000 5.6783
```

Summary:
Space-group type: P2_1/m (11)
Uncorrected energy: -6.090 eV per atom